Entry 1:
# PBE Ho2SnH, optimized geometry
data_Ho2SnH
_symmetry_space_group_name_H-M 'R -3 m'
_symmetry_Int_Tables_number 166
_symmetry_space_group_name_Hall '-R 3 2"'
_cell_length_a 3.5047
_cell_length_b 3.5047
_cell_length_c 26.6292
_cell_angle_alpha 90.00
_cell_angle_beta 90.00
_cell_angle_gamma 120.00
loop_
_atom_site_label
_atom_site_type_symbol
_atom_site_fract_x
_atom_site_fract_y
_atom_site_fract_z
Ho1 Ho 0.0000 0.0000 0.1162
Sn1 Sn 0.0000 0.0000 0.0000
H1 H 0.0000 0.0000 0.5000
# ρ   7.9 g cm⁻³
# Energy above the most stable polymorph in this dataset   0.553 eV/atom
# DOS at the Fermi energy   10.4 states/eV per cell
# Crystal system   trigonal

Entry 2:
# PBE Cs3InPb, optimized geometry
data_Cs3InPb
_symmetry_space_group_name_H-M 'C 1 2/m 1'
_symmetry_Int_Tables_number 12
_cell_length_a 13.176
_cell_length_b 11.609
_cell_length_c 9.873
_cell_angle_alpha 90.00
_cell_angle_beta 126.50
_cell_angle_gamma 90.00
loop_
_symmetry_equiv_pos_as_xyz
'x,y,z'
'-x,-y,-z'
'-x,y,-z'
'x,-y,z'
'x+1/2,y+1/2,z'
'-x+1/2,-y+1/2,-z'
'-x+1/2,y+1/2,-z'
'x+1/2,-y+1/2,z'
loop_
_atom_site_label
_atom_site_type_symbol
_atom_site_fract_x
_atom_site_fract_y
_atom_site_fract_z
Cs1 Cs 0.030 0.000 0.247
Cs2 Cs 0.232 0.302 0.237
In1 In 0.165 0.500 0.838
Pb1 Pb 0.100 0.500 0.461
# Energy of formation   -0.1 eV per formula unit
# ρ   3.9 g cm⁻³
# Energy above the most stable polymorph in this dataset   0.029 eV/atom
# DOS at the Fermi energy   15.5 states/eV per cell
# Crystal system   monoclinic

Entry 3:
# PBE Pa2TlIn9, optimized geometry
data_Pa2TlIn9
_symmetry_space_group_name_H-M 'P 4/m m m'
_symmetry_Int_Tables_number 123
_symmetry_space_group_name_Hall '-P 4 2'
_cell_length_a 4.641
_cell_length_b 4.641
_cell_length_c 14.489
_cell_angle_alpha 90.00
_cell_angle_beta 90.00
_cell_angle_gamma 90.00
loop_
_atom_site_label
_atom_site_type_symbol
_atom_site_fract_x
_atom_site_fract_y
_atom_site_fract_z
Pa1 Pa 0.000 0.000 0.160
Tl1 Tl 0.000 0.000 0.500
In1 In 0.000 0.500 0.000
In2 In 0.000 0.500 0.323
In3 In 0.500 0.500 0.159
In4 In 0.500 0.500 0.500
# Energy of formation   -0.5 eV per formula unit
# ρ   9.0 g cm⁻³
# DOS at the Fermi energy   12.7 states/eV per cell
# Crystal system   tetragonal

Entry 4:
# PBE KMg14V, optimized geometry
data_KMg14V
_symmetry_space_group_name_H-M 'A m m 2'
_symmetry_Int_Tables_number 38
_cell_length_a 10.616
_cell_length_b 6.469
_cell_length_c 11.161
_cell_angle_alpha 90.00
_cell_angle_beta 90.00
_cell_angle_gamma 90.00
loop_
_symmetry_equiv_pos_as_xyz
'x,y,z'
'-x,-y,z'
'-x,y,z'
'x,-y,z'
'x,y+1/2,z+1/2'
'-x,-y+1/2,z+1/2'
'-x,y+1/2,z+1/2'
'x,-y+1/2,z+1/2'
loop_
_atom_site_label
_atom_site_type_symbol
_atom_site_fract_x
_atom_site_fract_y
_atom_site_fract_z
K1 K 0.000 0.000 0.000
Mg1 Mg 0.000 0.245 0.749
Mg2 Mg 0.235 0.000 0.341
Mg3 Mg 0.254 0.241 0.587
Mg4 Mg 0.263 0.000 0.834
Mg5 Mg 0.500 0.000 0.005
Mg6 Mg 0.500 0.000 0.502
Mg7 Mg 0.500 0.246 0.253
V1 V 0.000 0.000 0.507
# Energy of formation   3.0 eV per formula unit
# ρ   1.9 g cm⁻³
# Energy above the most stable polymorph in this dataset   0.015 eV/atom
# DOS at the Fermi energy   16.4 states/eV per cell
# Crystal system   orthorhombic